1.
Ho2InCo, optimized geometry, DFT PBE; energy above the lowest structure with this stoichiometry = 120 meV/atom
1.0
5.061 0.000 0.000
2.531 4.383 0.000
2.531 1.461 4.133
Co Ho In
1 2 1
Direct
0.000 0.000 0.000
0.250 0.250 0.250
0.750 0.750 0.750
0.500 0.500 0.500


2.
Ho12In6Co, optimized geometry, DFT PBE; uncorrected energy = -4.32 eV per atom
1.0
8.208 0.306 0.367
-0.941 8.160 0.367
-0.941 -1.097 8.094
Ho In Co
12 6 1
Direct
0.796 0.575 0.459
0.459 0.796 0.575
0.575 0.459 0.796
0.204 0.425 0.541
0.541 0.204 0.425
0.425 0.541 0.204
0.977 0.088 0.309
0.912 0.691 0.023
0.691 0.023 0.912
0.023 0.912 0.691
0.088 0.309 0.977
0.309 0.977 0.088
0.651 0.863 0.264
0.736 0.349 0.137
0.137 0.736 0.349
0.349 0.137 0.736
0.264 0.651 0.863
0.863 0.264 0.651
0.000 0.000 0.000


3.
Ho3In4Co2, optimized geometry, DFT PBE; uncorrected energy = -4.56 eV per atom
1.0
4.053 -7.020 0.000
4.053 7.020 0.000
0.000 0.000 3.507
Ho In Co
3 4 2
Direct
0.259 0.006 0.500
0.994 0.253 0.500
0.747 0.741 0.500
0.667 0.333 0.500
0.046 0.629 0.000
0.371 0.416 0.000
0.584 0.954 0.000
0.000 0.000 0.000
0.333 0.667 0.500


4.
HoIn2Co, optimized geometry, DFT PBE; uncorrected energy = -4.57 eV per atom
1.0
5.579 0.000 0.000
0.000 7.849 0.000
0.000 0.000 15.147
Ho In Co
8 16 8
Direct
0.463 0.250 0.138
0.963 0.750 0.362
0.537 0.750 0.862
0.037 0.250 0.638
0.743 0.250 0.397
0.243 0.750 0.103
0.257 0.750 0.603
0.757 0.250 0.897
0.976 0.050 0.215
0.476 0.950 0.285
0.024 0.550 0.785
0.524 0.450 0.715
0.024 0.950 0.785
0.524 0.050 0.715
0.976 0.450 0.215
0.476 0.550 0.285
0.752 0.551 0.039
0.252 0.449 0.461
0.248 0.051 0.961
0.748 0.949 0.539
0.248 0.449 0.961
0.748 0.551 0.539
0.752 0.949 0.039
0.252 0.051 0.461
0.253 0.250 0.314
0.753 0.750 0.186
0.747 0.750 0.686
0.247 0.250 0.814
0.977 0.250 0.070
0.477 0.750 0.430
0.023 0.750 0.930
0.523 0.250 0.570